No. 1
# Cr3WI PBE-GGA relaxed
data_Cr3WI
_chemical_formula_sum 'Cr3 W1 I1'
_symmetry_space_group_name_H-M 'P m -3 m'
_symmetry_Int_Tables_number 221
_symmetry_space_group_name_Hall '-P 4 2 3'
_cell_length_a 4.511
_cell_length_b 4.511
_cell_length_c 4.511
_cell_angle_alpha 90.00
_cell_angle_beta 90.00
_cell_angle_gamma 90.00
loop_
_atom_site_label
_atom_site_fract_x
_atom_site_fract_y
_atom_site_fract_z
Cr1 0.000 0.000 0.500
W1 0.500 0.500 0.500
I1 0.000 0.000 0.000
# density of states at the Fermi level: 0.96 states/eV per atom
# energy relative to the elements, uncorrected: 2.40 eV per atom
# ΔE to the lowest computed polymorph: 900 meV per atom

No. 2
# CrW3I PBE-GGA relaxed
data_CrW3I
_chemical_formula_sum 'Cr1 W3 I1'
_symmetry_space_group_name_H-M 'P m -3 m'
_symmetry_Int_Tables_number 221
_symmetry_space_group_name_Hall '-P 4 2 3'
_cell_length_a 4.609
_cell_length_b 4.609
_cell_length_c 4.609
_cell_angle_alpha 90.00
_cell_angle_beta 90.00
_cell_angle_gamma 90.00
loop_
_atom_site_label
_atom_site_fract_x
_atom_site_fract_y
_atom_site_fract_z
Cr1 0.000 0.000 0.000
W1 0.000 0.000 0.500
I1 0.500 0.500 0.500
# density of states at the Fermi level: 1.18 states/eV per atom
# energy relative to the elements, uncorrected: 1.88 eV per atom
# ΔE to the lowest computed polymorph: 0 meV per atom

No. 3
# Cr2WI PBE-GGA relaxed
data_Cr2WI
_chemical_formula_sum 'Cr8 W4 I4'
_symmetry_space_group_name_H-M 'I -4 2 d'
_symmetry_Int_Tables_number 122
_symmetry_space_group_name_Hall 'I -4 2bw'
_cell_length_a 5.805
_cell_length_b 5.805
_cell_length_c 12.066
_cell_angle_alpha 90.00
_cell_angle_beta 90.00
_cell_angle_gamma 90.00
loop_
_atom_site_label
_atom_site_fract_x
_atom_site_fract_y
_atom_site_fract_z
Cr1 0.200 0.250 0.125
W1 0.000 0.000 0.000
I1 0.000 0.000 0.500
# density of states at the Fermi level: 0.73 states/eV per atom
# energy relative to the elements, uncorrected: 1.46 eV per atom
# ΔE to the lowest computed polymorph: 302 meV per atom

No. 4
# Cr2WI PBE-GGA relaxed
data_Cr2WI
_chemical_formula_sum 'Cr8 W4 I4'
_symmetry_space_group_name_H-M 'F m -3 m'
_symmetry_Int_Tables_number 225
_symmetry_space_group_name_Hall '-F 4 2 3'
_cell_length_a 6.257
_cell_length_b 6.257
_cell_length_c 6.257
_cell_angle_alpha 90.00
_cell_angle_beta 90.00
_cell_angle_gamma 90.00
loop_
_atom_site_label
_atom_site_fract_x
_atom_site_fract_y
_atom_site_fract_z
Cr1 0.250 0.250 0.250
W1 0.000 0.000 0.000
I1 0.000 0.000 0.500
# density of states at the Fermi level: 2.19 states/eV per atom
# energy relative to the elements, uncorrected: 1.16 eV per atom
# ΔE to the lowest computed polymorph: 0 meV per atom

No. 5
# CrWI3 PBE-GGA relaxed
data_CrWI3
_chemical_formula_sum 'Cr1 W1 I3'
_symmetry_space_group_name_H-M 'P m -3 m'
_symmetry_Int_Tables_number 221
_symmetry_space_group_name_Hall '-P 4 2 3'
_cell_length_a 5.520
_cell_length_b 5.520
_cell_length_c 5.520
_cell_angle_alpha 90.00
_cell_angle_beta 90.00
_cell_angle_gamma 90.00
loop_
_atom_site_label
_atom_site_fract_x
_atom_site_fract_y
_atom_site_fract_z
Cr1 0.000 0.000 0.000
W1 0.500 0.500 0.500
I1 0.000 0.000 0.500
# density of states at the Fermi level: 2.36 states/eV per atom
# energy relative to the elements, uncorrected: 1.22 eV per atom
# ΔE to the lowest computed polymorph: 224 meV per atom

No. 6
# CrW2I PBE-GGA relaxed
data_CrW2I
_chemical_formula_sum 'Cr4 W8 I4'
_symmetry_space_group_name_H-M 'I -4 2 d'
_symmetry_Int_Tables_number 122
_symmetry_space_group_name_Hall 'I -4 2bw'
_cell_length_a 3.807
_cell_length_b 3.807
_cell_length_c 20.774
_cell_angle_alpha 90.00
_cell_angle_beta 90.00
_cell_angle_gamma 90.00
loop_
_atom_site_label
_atom_site_fract_x
_atom_site_fract_y
_atom_site_fract_z
Cr1 0.000 0.000 0.000
W1 0.236 0.250 0.125
I1 0.000 0.000 0.500
# density of states at the Fermi level: 0.79 states/eV per atom
# energy relative to the elements, uncorrected: 1.30 eV per atom
# ΔE to the lowest computed polymorph: 108 meV per atom

No. 7
# CrWI3 PBE-GGA relaxed
data_CrWI3
_chemical_formula_sum 'Cr1 W1 I3'
_symmetry_space_group_name_H-M 'P m -3 m'
_symmetry_Int_Tables_number 221
_symmetry_space_group_name_Hall '-P 4 2 3'
_cell_length_a 5.614
_cell_length_b 5.614
_cell_length_c 5.614
_cell_angle_alpha 90.00
_cell_angle_beta 90.00
_cell_angle_gamma 90.00
loop_
_atom_site_label
_atom_site_fract_x
_atom_site_fract_y
_atom_site_fract_z
Cr1 0.000 0.000 0.000
W1 0.500 0.500 0.500
I1 0.000 0.500 0.500
# density of states at the Fermi level: 0.56 states/eV per atom
# energy relative to the elements, uncorrected: 1.00 eV per atom
# ΔE to the lowest computed polymorph: 0 meV per atom

No. 8
# CrW2I2 PBE-GGA relaxed
data_CrW2I2
_chemical_formula_sum 'Cr2 W4 I4'
_symmetry_space_group_name_H-M 'P 4/m b m'
_symmetry_Int_Tables_number 127
_symmetry_space_group_name_Hall '-P 4 2ab'
_cell_length_a 6.782
_cell_length_b 6.782
_cell_length_c 4.546
_cell_angle_alpha 90.00
_cell_angle_beta 90.00
_cell_angle_gamma 90.00
loop_
_atom_site_label
_atom_site_fract_x
_atom_site_fract_y
_atom_site_fract_z
Cr1 0.000 0.000 0.000
W1 0.137 0.363 0.000
I1 0.178 0.678 0.500
# density of states at the Fermi level: 1.20 states/eV per atom
# energy relative to the elements, uncorrected: 1.43 eV per atom
# ΔE to the lowest computed polymorph: 0 meV per atom

- Which value of energy relative to the elements, uncorrected does entry 1 give?
  2.40 eV per atom

Please write out number 1 again, unchanged.
# Cr3WI PBE-GGA relaxed
data_Cr3WI
_chemical_formula_sum 'Cr3 W1 I1'
_symmetry_space_group_name_H-M 'P m -3 m'
_symmetry_Int_Tables_number 221
_symmetry_space_group_name_Hall '-P 4 2 3'
_cell_length_a 4.511
_cell_length_b 4.511
_cell_length_c 4.511
_cell_angle_alpha 90.00
_cell_angle_beta 90.00
_cell_angle_gamma 90.00
loop_
_atom_site_label
_atom_site_fract_x
_atom_site_fract_y
_atom_site_fract_z
Cr1 0.000 0.000 0.500
W1 0.500 0.500 0.500
I1 0.000 0.000 0.000
# density of states at the Fermi level: 0.96 states/eV per atom
# energy relative to the elements, uncorrected: 2.40 eV per atom
# ΔE to the lowest computed polymorph: 900 meV per atom